First-principles (GGA-PBE) data for a geometry-optimized ZrTlSiS3 structure, as listed in OQMD via LeMat-Bulk.

Cell and atoms, written as CIF:
```
data_ZrTlSiS3
_cell_length_a 4.1820
_cell_length_b 13.4495
_cell_length_c 9.9829
_cell_angle_alpha 90.00
_cell_angle_beta 90.00
_cell_angle_gamma 90.00
_space_group_name_H-M_alt 'C m c m'
_space_group_IT_number 63
_space_group_name_Hall '-C 2c 2'
loop_
_atom_site_label
_atom_site_fract_x
_atom_site_fract_y
_atom_site_fract_z
_atom_site_occupancy
Zr1 0.0000 0.0000 0.0000 1
Tl1 0.0000 0.2708 0.2500 1
Si1 0.0000 0.4718 0.7500 1
S1 0.0000 0.0407 0.7500 1
S2 0.0000 0.3761 0.5670 1
```

Results
Total DFT energy (no corrections) in eV per atom: -5.3505

***

First-principles (GGA-PBE) data for a geometry-optimized Sm2S3 structure, as listed in OQMD via LeMat-Bulk.

Cell and atoms, written as CIF:
```
data_Sm2S3
_cell_length_a 7.4171
_cell_length_b 3.9977
_cell_length_c 15.4501
_cell_angle_alpha 90.00
_cell_angle_beta 90.00
_cell_angle_gamma 90.00
_space_group_name_H-M_alt 'P n m a'
_space_group_IT_number 62
_space_group_name_Hall '-P 2ac 2n'
loop_
_atom_site_label
_atom_site_fract_x
_atom_site_fract_y
_atom_site_fract_z
_atom_site_occupancy
Sm1 0.1421 0.2500 0.2043 1
Sm2 0.2343 0.7500 0.4564 1
S1 0.0083 0.2500 0.3910 1
S2 0.1253 0.7500 0.0672 1
S3 0.1482 0.2500 0.7810 1
```

Results
Total DFT energy (no corrections) in eV per atom: -6.4344